Density functional theory data (PBE-GGA) for Li2RhCl after structural relaxation.

The uncorrected formation energy is -183.7 kJ/mol of formula units. The value obtained for the density of states at the Fermi level is 0.551 states/eV per atom. The value obtained for the total magnetic moment is 0.93 μB per cell. The value obtained for the energy relative to the lowest polymorph listed for this composition is 145 meV per atom. The total energy is -14.9 eV for the cell shown.

The space group is P4mm (No. 99) and the conventional cell measures 2.9920, 2.9920 and 7.7093 Å, with angles of 90.00, 90.00 and 90.00 degrees. The inequivalent atoms are Li at (0.0000, 0.0000, 0.0000), Li at (0.5000, 0.5000, 0.4314), Rh at (0.0000, 0.0000, 0.6547) and Cl at (0.5000, 0.5000, 0.1311).